Record 1
DFT (PBE-GGA) results for a relaxed HgTeRuI2 crystal.

a b c (Å): 5.8030 5.8030 5.6958
angles (deg): 90.00 90.00 90.00
Last column: nearest neighbours and their distance in Å.
Element x y z (fractional)
Ru (0.5000, 0.5000, 0.5000)  8 I 4.07, 4 Te 4.10
I (0.5000, 0.0000, 0.0000)  2 Hg 2.90
I (0.0000, 0.5000, 0.0000)  2 Hg 2.90
Te (0.0000, 0.0000, 0.5000)  2 Hg 2.85
Hg (0.0000, 0.0000, 0.0000)  2 Te 2.85, 4 I 2.90

Values from the calculation:
The formation energy without anion corrections is 1.23 eV per atom. The calculation puts the distance to the lowest polymorph of the same formula at 940.9 meV per atom. The total magnetic moment is 0.759 μB per atom. As for the total energy: -0.1420 Ry per atom.

---

Record 2
DFT (PBE-GGA) results for a relaxed Dy4Tm3Tl2 crystal.

a b c (Å): 5.3623 6.5819 10.1316
angles (deg): 122.47 90.00 114.04
Last column: nearest neighbours and their distance in Å.
Element x y z (fractional)
Dy (0.2663, 0.5327, 0.9167)  2 Tl 3.14-3.30, 2 Dy 3.31, 2 Tm 3.32
Dy (0.7337, 0.4673, 0.0833)  2 Tl 3.14-3.30, 2 Dy 3.31, 2 Tm 3.32
Tl (0.5832, 0.1664, 0.2528)  5 Dy 3.14-3.30, 3 Tm 3.22-3.43
Dy (0.9015, 0.8031, 0.5714)  3 Tl 3.16-3.25, 1 Dy 3.43, 2 Tm 3.49
Tl (0.4168, 0.8336, 0.7472)  5 Dy 3.14-3.30, 3 Tm 3.22-3.43
Tm (0.3537, 0.7074, 0.3217)  1 Tl 3.22, 2 Tm 3.24-3.52, 5 Dy 3.32-3.59
Tm (0.6463, 0.2926, 0.6783)  1 Tl 3.22, 2 Tm 3.24-3.52, 5 Dy 3.32-3.59
Tm (0.0000, 0.0000, 0.0000)  4 Tl 3.43, 2 Tm 3.52, 8 Dy 3.61-3.77
Dy (0.0985, 0.1969, 0.4286)  3 Tl 3.16-3.25, 1 Dy 3.43, 2 Tm 3.49

Values from the calculation:
For the formation energy, the calculation gives -0.152 eV/atom. The total magnetic moment is 0.000 μB per atom. As for the total energy: -0.3097 Ry per atom.

---

Record 3
DFT (PBE-GGA) results for a relaxed CdIn2Ge crystal.

a b c (Å): 3.1772 3.1772 11.5107
angles (deg): 82.07 82.07 60.00
Last column: nearest neighbours and their distance in Å.
Element x y z (fractional)
In (0.9091, 0.9091, 0.2727)  1 Cd 3.10, 3 Ge 3.17, 6 In 3.18
In (0.0909, 0.0909, 0.7273)  1 Cd 3.10, 3 Ge 3.17, 6 In 3.18
Cd (0.0000, 0.0000, 0.0000)  2 In 3.10, 6 Cd 3.18
Ge (0.5000, 0.5000, 0.5000)  6 In 3.17, 6 Ge 3.18

Values from the calculation:
For the formation energy, the calculation gives 0.137 eV/atom. The total magnetic moment is 0.000 μB per atom. As for the total energy: -0.1922 Ry per atom.

---

Record 4
DFT (PBE-GGA) results for a relaxed MgBI3 crystal.

a b c (Å): 5.1779 5.1779 5.1779
angles (deg): 90.00 90.00 90.00
Last column: nearest neighbours and their distance in Å.
Element x y z (fractional)
I (0.0000, 0.0000, 0.5000)  2 B 2.59
Mg (0.5000, 0.5000, 0.5000)  12 I 3.66
I (0.0000, 0.5000, 0.0000)  2 B 2.59
I (0.5000, 0.0000, 0.0000)  2 B 2.59
B (0.0000, 0.0000, 0.0000)  6 I 2.59

Values from the calculation:
The formation energy without anion corrections is 0.44 eV per atom. The calculation puts the distance to the lowest polymorph of the same formula at 0.0 meV per atom. The total magnetic moment is 0.000 μB per atom. As for the total energy: -0.1576 Ry per atom.

---

Record 5
DFT (PBE-GGA) results for a relaxed Pr8OsPd2 crystal.

a b c (Å): 5.2035 7.0173 9.4079
angles (deg): 99.89 106.05 90.00
Last column: nearest neighbours and their distance in Å.
Element x y z (fractional)
Pr (0.4137, 0.5683, 0.8275)  1 Os 3.15, 3 Pr 3.42-3.49
Pr (0.7976, 0.6689, 0.5953)  1 Pd 2.89
Os (0.5000, 0.0000, 0.0000)  8 Pr 2.98-3.15
Pr (0.5863, 0.4317, 0.1725)  1 Os 3.15, 3 Pr 3.42-3.49
Pr (0.3381, 0.0320, 0.6762)  3 Pd 2.96-3.18, 1 Os 2.98
Pr (0.0324, 0.7870, 0.0649)  1 Pd 3.07, 2 Os 3.11, 1 Pr 3.40
Pr (0.6619, 0.9680, 0.3238)  3 Pd 2.96-3.18, 1 Os 2.98
Pd (0.1979, 0.7402, 0.3959)  5 Pr 2.89-3.18
Pd (0.8021, 0.2598, 0.6041)  5 Pr 2.89-3.18
Pr (0.9676, 0.2130, 0.9351)  1 Pd 3.07, 2 Os 3.11, 1 Pr 3.40
Pr (0.2024, 0.3311, 0.4047)  1 Pd 2.89

Values from the calculation:
The calculation puts the distance to the lowest polymorph of the same formula at 0.0 meV per atom. For the formation energy, the calculation gives -0.256 eV/atom. The total magnetic moment is 0.000 μB per atom. As for the total energy: -0.4187 Ry per atom.

---

Record 6
DFT (PBE-GGA) results for a relaxed Ce2Pr3ThTe6 crystal.

a b c (Å): 4.4884 9.0554 10.0936
angles (deg): 103.47 102.85 90.00
Last column: nearest neighbours and their distance in Å.
Element x y z (fractional)
Te (0.9992, 0.7508, 0.9984)  1 Ce 3.16, 3 Pr 3.18-3.20, 2 Th 3.18
Te (0.3323, 0.4177, 0.6646)  3 Ce 3.17-3.18, 3 Pr 3.21
Pr (0.1655, 0.8344, 0.3311)  6 Te 3.18-3.21
Th (0.5000, 0.0000, 0.0000)  6 Te 3.18
Te (0.6677, 0.5823, 0.3354)  3 Ce 3.17-3.18, 3 Pr 3.21
Pr (0.5000, 0.5000, 0.0000)  6 Te 3.20-3.21
Ce (0.1662, 0.3332, 0.3324)  6 Te 3.16-3.18
Pr (0.8345, 0.1656, 0.6689)  6 Te 3.18-3.21
Te (0.0008, 0.2492, 0.0016)  1 Ce 3.16, 3 Pr 3.18-3.20, 2 Th 3.18
Te (0.6666, 0.0861, 0.3332)  2 Ce 3.17, 1 Th 3.18, 3 Pr 3.20-3.21
Ce (0.8338, 0.6668, 0.6676)  6 Te 3.16-3.18
Te (0.3334, 0.9139, 0.6668)  2 Ce 3.17, 1 Th 3.18, 3 Pr 3.20-3.21

Values from the calculation:
The formation energy without anion corrections is -1.34 eV per atom. The total magnetic moment is 0.200 μB per atom. As for the total energy: -0.4202 Ry per atom.

---

Record 7
DFT (PBE-GGA) results for a relaxed YClO crystal.

a b c (Å): 3.9302 3.9302 6.7213
angles (deg): 90.00 90.00 90.00
Last column: nearest neighbours and their distance in Å.
Element x y z (fractional)
Cl (0.5000, 0.0000, 0.6275)  5 Y 3.10, 4 O 3.18, 4 Cl 3.27
O (0.0000, 0.0000, 0.0000)  4 Y 2.26
Y (0.5000, 0.0000, 0.1669)  4 O 2.26
Cl (0.0000, 0.5000, 0.3725)  5 Y 3.10, 4 O 3.18, 4 Cl 3.27
Y (0.0000, 0.5000, 0.8331)  4 O 2.26
O (0.5000, 0.5000, 0.0000)  4 Y 2.26

Values from the calculation:
The formation energy without anion corrections is -3.04 eV per atom. The total magnetic moment is 0.000 μB per atom. As for the total energy: -0.5485 Ry per atom.

---

Record 8
DFT (PBE-GGA) results for a relaxed YZrZn2 crystal.

a b c (Å): 5.6784 5.6784 5.6784
angles (deg): 137.22 137.22 62.10
Last column: nearest neighbours and their distance in Å.
Element x y z (fractional)
Zn (0.0000, 0.0000, 0.0000)  4 Zr 2.93, 4 Y 3.19, 4 Zn 3.19
Zr (0.5000, 0.5000, 0.0000)  8 Zn 2.93-3.19, 4 Y 3.19
Y (0.7500, 0.2500, 0.5000)  8 Zn 2.93-3.19, 4 Zr 3.19
Zn (0.2500, 0.7500, 0.5000)  4 Y 2.93, 4 Zr 3.19, 4 Zn 3.19

Values from the calculation:
For the formation energy, the calculation gives -0.083 eV/atom. The total magnetic moment is 0.000 μB per atom. As for the total energy: -0.3288 Ry per atom.

---

Record 9
DFT (PBE-GGA) results for a relaxed NbCr2TcRu crystal.

a b c (Å): 4.3683 4.6125 4.3683
angles (deg): 90.00 90.00 90.00
Last column: nearest neighbours and their distance in Å.
Element x y z (fractional)
Ru (0.0000, 0.5000, 0.0000)  2 Tc 2.31
Nb (0.5000, 0.5000, 0.5000)  4 Ru 3.09, 8 Cr 3.18
Cr (0.5000, 0.0000, 0.0000)  2 Tc 2.18
Tc (0.0000, 0.0000, 0.0000)  4 Cr 2.18, 2 Ru 2.31
Cr (0.0000, 0.0000, 0.5000)  2 Tc 2.18

Values from the calculation:
For the formation energy, the calculation gives 1.400 eV/atom. The total magnetic moment is 0.000 μB per atom. As for the total energy: -0.6168 Ry per atom.

---

Record 10
DFT (PBE-GGA) results for a relaxed AcNdIn crystal.

a b c (Å): 5.4971 5.4971 5.4971
angles (deg): 60.00 60.00 60.00
Last column: nearest neighbours and their distance in Å.
Element x y z (fractional)
In (0.2500, 0.2500, 0.2500)  4 Ac 3.37, 4 Nd 3.37
Ac (0.5000, 0.5000, 0.5000)  4 In 3.37
Nd (0.0000, 0.0000, 0.0000)  4 In 3.37

Values from the calculation:
The calculation puts the distance to the lowest polymorph of the same formula at 199.2 meV per atom. For the formation energy, the calculation gives -0.104 eV/atom. The total magnetic moment is 0.096 μB per atom. As for the total energy: -0.2922 Ry per atom.

---

Record 11
DFT (PBE-GGA) results for a relaxed CeMgZr crystal.

a b c (Å): 3.0944 3.0944 7.9523
angles (deg): 101.22 101.22 90.00
Last column: nearest neighbours and their distance in Å.
Element x y z (fractional)
Zr (0.0022, 0.0022, 0.0045)  4 Zr 3.09, 4 Mg 3.25, 4 Ce 3.32
Ce (0.3387, 0.3387, 0.6773)  4 Ce 3.09, 4 Zr 3.32
Mg (0.6591, 0.6591, 0.3182)  4 Mg 3.09, 4 Zr 3.25

Values from the calculation:
The calculation puts the distance to the lowest polymorph of the same formula at 0.0 meV per atom. For the formation energy, the calculation gives 0.032 eV/atom. The total magnetic moment is 0.000 μB per atom. As for the total energy: -0.3915 Ry per atom.

---

Record 12
DFT (PBE-GGA) results for a relaxed LuAl2Os crystal.

a b c (Å): 3.1279 3.1279 7.1531
angles (deg): 90.00 90.00 90.00
Last column: nearest neighbours and their distance in Å.
Element x y z (fractional)
Lu (0.5000, 0.5000, 0.5000)  8 Al 3.12, 4 Lu 3.13
Al (0.0000, 0.0000, 0.8085)  4 Os 2.60, 1 Al 2.74
Os (0.5000, 0.5000, 0.0000)  8 Al 2.60
Al (0.0000, 0.0000, 0.1915)  4 Os 2.60, 1 Al 2.74

Values from the calculation:
For the formation energy, the calculation gives -0.386 eV/atom. The total magnetic moment is 0.002 μB per atom. As for the total energy: -0.4553 Ry per atom.

---

Record 13
DFT (PBE-GGA) results for a relaxed TbCe3Th4Sb8 crystal.

a b c (Å): 8.9869 8.9862 8.9859
angles (deg): 120.00 120.00 90.00
Last column: nearest neighbours and their distance in Å.
Element x y z (fractional)
Th (0.5000, 0.0000, 0.0000)  6 Sb 3.21
Ce (0.0000, 0.5000, 0.5000)  6 Sb 3.17
Sb (0.7496, 0.7486, 0.4991)  3 Ce 3.17, 3 Th 3.18
Th (0.0000, 0.0000, 0.5000)  6 Sb 3.18
Sb (0.2475, 0.7465, 0.9989)  1 Tb 3.15, 2 Ce 3.17, 3 Th 3.18-3.21
Th (0.5000, 0.0000, 0.5000)  6 Sb 3.18
Sb (0.7514, 0.7465, 0.9989)  1 Tb 3.15, 2 Ce 3.17, 3 Th 3.18-3.21
Sb (0.7525, 0.2535, 0.0011)  1 Tb 3.15, 2 Ce 3.17, 3 Th 3.18-3.21
Sb (0.2476, 0.7466, 0.4952)  1 Tb 3.15, 2 Ce 3.17, 3 Th 3.18-3.21
Sb (0.2486, 0.2535, 0.0011)  1 Tb 3.15, 2 Ce 3.17, 3 Th 3.18-3.21
Ce (0.5000, 0.5000, 0.0000)  6 Sb 3.17
Tb (0.0000, 0.5000, 0.0000)  6 Sb 3.15
Sb (0.2504, 0.2514, 0.5009)  3 Ce 3.17, 3 Th 3.18
Sb (0.7524, 0.2534, 0.5048)  1 Tb 3.15, 2 Ce 3.17, 3 Th 3.18-3.21
Th (0.0000, 0.0000, 0.0000)  6 Sb 3.18
Ce (0.5000, 0.5000, 0.5000)  6 Sb 3.17

Values from the calculation:
The formation energy without anion corrections is -1.00 eV per atom. The total magnetic moment is 0.180 μB per atom. As for the total energy: -0.4645 Ry per atom.